A plane-wave DFT calculation with PBE-GGA was carried out for a relaxed structure of CsSnAuI2.

It has space group P4/mmm (No. 123), with a = 6.3828 Å, b = 6.3828 Å, c = 5.2781 Å, α = 90.00°, β = 90.00° and γ = 90.00°. The distinct sites, in fractional coordinates, are Cs at (0.0000, 0.0000, 0.0000), Sn at (0.5000, 0.5000, 0.5000), Au at (0.5000, 0.5000, 0.0000) and I at (0.0000, 0.5000, 0.5000).

Its uncorrected formation energy is -66.1 kJ/mol of atoms. The total magnetization comes out at 0.000 μB/f.u. As for the raw total energy: -2.932 eV/atom.

=====

A plane-wave DFT calculation with PBE-GGA was carried out for a relaxed structure of NbAlTe2Rh.

It has space group P4/mmm (No. 123), with a = 5.2730 Å, b = 5.2730 Å, c = 4.8699 Å, α = 90.00°, β = 90.00° and γ = 90.00°. The distinct sites, in fractional coordinates, are Nb at (0.0000, 0.0000, 0.0000), Al at (0.5000, 0.5000, 0.0000), Te at (0.0000, 0.5000, 0.5000) and Rh at (0.0000, 0.0000, 0.5000).

Its uncorrected formation energy is 67.2 kJ/mol of atoms. As for the distance to the lowest polymorph of the same formula: 120.5 meV per atom. The total magnetization comes out at 2.220 μB/f.u. As for the raw total energy: -4.793 eV/atom.

=====

A plane-wave DFT calculation with PBE-GGA was carried out for a relaxed structure of MgMo2Pt.

It has space group I-42d (No. 122), with a = 7.5539 Å, b = 7.5539 Å, c = 5.0727 Å, α = 90.00°, β = 90.00° and γ = 90.00°. The distinct sites, in fractional coordinates, are Mg at (0.0000, 0.0000, 0.0000), Mo at (0.2165, 0.7500, 0.6250) and Pt at (0.0000, 0.0000, 0.5000).

For the calculated formation energy, the calculation gives 0.5005 eV per atom. The total magnetization comes out at 0.000 μB/f.u. As for the raw total energy: -6.824 eV/atom.

=====

A plane-wave DFT calculation with PBE-GGA was carried out for a relaxed structure of NiGe4Pt5.

It has space group Pmmn (No. 59, origin choice 2), with a = 7.1728 Å, b = 7.2463 Å, c = 6.7703 Å, α = 90.00°, β = 90.00° and γ = 90.00°. The distinct sites, in fractional coordinates, are Ni at (0.2500, 0.2500, 0.2233), Ge at (0.0565, 0.2500, 0.9379), Ge at (0.2500, 0.0187, 0.4615), Pt at (0.0521, 0.5473, 0.7575) and Pt at (0.2500, 0.7500, 0.2337).

For the calculated formation energy, the calculation gives -0.2736 eV per atom. The total magnetization comes out at 0.000 μB/f.u. As for the raw total energy: -5.719 eV/atom.

=====

A plane-wave DFT calculation with PBE-GGA was carried out for a relaxed structure of PrErTh2As4.

It has space group P2/m (No. 10), with a = 7.2948 Å, b = 4.2359 Å, c = 7.3391 Å, α = 90.00°, β = 109.64° and γ = 90.00°. The distinct sites, in fractional coordinates, are Pr at (0.0000, 0.0000, 0.0000), Er at (0.0000, 0.5000, 0.5000), Th at (0.5000, 0.0000, 0.5000), Th at (0.5000, 0.5000, 0.0000), As at (0.2452, 0.0000, 0.7424) and As at (0.2501, 0.5000, 0.2559).

For the calculated formation energy, the calculation gives -1.4510 eV per atom. The total magnetization comes out at 0.000 μB/f.u. As for the raw total energy: -6.799 eV/atom.

=====

A plane-wave DFT calculation with PBE-GGA was carried out for a relaxed structure of SrZn2CdCo.

It has space group P4/mmm (No. 123), with a = 6.0194 Å, b = 6.0194 Å, c = 6.2996 Å, α = 90.00°, β = 90.00° and γ = 90.00°. The distinct sites, in fractional coordinates, are Sr at (0.0000, 0.0000, 0.0000), Zn at (0.0000, 0.5000, 0.0000), Cd at (0.0000, 0.0000, 0.5000) and Co at (0.5000, 0.5000, 0.5000).

As for the distance to the lowest polymorph of the same formula: 1472.9 meV per atom. For the calculated formation energy, the calculation gives 1.4120 eV per atom. The total magnetization comes out at 1.932 μB/f.u. As for the raw total energy: -1.038 eV/atom.

=====

A plane-wave DFT calculation with PBE-GGA was carried out for a relaxed structure of AcInI2O8.

It has space group P-3m1 (No. 164), with a = 6.1899 Å, b = 6.1899 Å, c = 7.0651 Å, α = 90.00°, β = 90.00° and γ = 120.00°. The distinct sites, in fractional coordinates, are Ac at (0.0000, 0.0000, 0.0000), In at (0.0000, 0.0000, 0.5000), I at (0.3333, 0.6667, 0.2936), O at (0.1490, 0.2980, 0.2875) and O at (0.3333, 0.6667, 0.0376).

Its uncorrected formation energy is -112.1 kJ/mol of atoms. The total magnetization comes out at 0.000 μB/f.u. As for the raw total energy: -5.297 eV/atom.

=====

A plane-wave DFT calculation with PBE-GGA was carried out for a relaxed structure of Dy5Tm2Tl.

It has space group Immm (No. 71), with a = 3.4098 Å, b = 11.0840 Å, c = 12.7740 Å, α = 90.00°, β = 90.00° and γ = 90.00°. The distinct sites, in fractional coordinates, are Dy at (0.0000, 0.0000, 0.0000), Dy at (0.0000, 0.2688, 0.3675), Tm at (0.0000, 0.0000, 0.2681) and Tl at (0.0000, 0.5000, 0.0000).

As for the distance to the lowest polymorph of the same formula: 29.3 meV per atom. For the calculated formation energy, the calculation gives -0.0035 eV per atom. The total magnetization comes out at 0.000 μB/f.u. As for the raw total energy: -4.294 eV/atom.

=====

> Look up the raw total energy of the fifth one.

-6.799 eV/atom

=====

> Among the records above, which one has the highest raw total energy?

SrZn2CdCo

=====

> The lowest raw total energy belongs to which entry?

MgMo2Pt

=====

> Which value of raw total energy does entry 1 give?

-2.932 eV/atom